(1)
Computed, not measured: crystalline Ca2SmEu at its relaxed geometry at the PBE-GGA level of DFT.

Unit cell a=4.175 b=6.112 c=6.112 alpha=90.00 beta=90.00 gamma=90.00
Last column: magnetic moment on the atom in μB.
Positions (direct):
Eu  0.500  0.500  0.500  6.95
Ca  0.000  0.000  0.500  0.02
Ca  0.000  0.500  0.000  0.02
Sm  0.500  0.000  0.000  -0.03

Calculated values
The energy above the most stable polymorph in this dataset comes out at 18.3 meV per atom. The formation enthalpy at 0 K comes out at 0.099 eV/atom. Its symmetry is P4/mmm (123). For the density of states at the Fermi level, the calculation gives 9.17 states/eV per cell.

(2)
Computed, not measured: crystalline Ce2ErTh at its relaxed geometry at the PBE-GGA level of DFT.

Unit cell a=3.441 b=3.441 c=11.900 alpha=81.69 beta=81.69 gamma=60.00
Last column: magnetic moment on the atom in μB.
Positions (direct):
Ce  0.084  0.084  0.747  -0.01
Ce  0.248  0.248  0.257  0.39
Er  0.832  0.832  0.505  0.02
Th  0.336  0.336  0.992  -0.01

Calculated values
The energy above the most stable polymorph in this dataset comes out at 90.2 meV per atom. The formation enthalpy at 0 K comes out at 0.145 eV/atom. Its symmetry is R3m (160). For the density of states at the Fermi level, the calculation gives 9.79 states/eV per cell.